22
Lattice="4.938 0.000 2.179 1.869 7.968 2.449 -0.760 0.581 8.405" Properties=species:S:1:pos:R:3 comment="BiS2O8 GGA-PBE optimized geometry" de_polymorph_mev_per_atom=17.2 e_form_raw_mev_per_atom=-1158 total_magnetization_mub_per_fu=1.05 mass_density_g_cm3=3.93 sg="C2/c (15)" pbc="T T T"
Bi 2.004 6.121 4.288
Bi 4.043 2.428 8.746
S 4.874 7.137 12.153
S 1.995 2.863 5.700
S 4.052 5.686 7.333
S 1.173 1.412 0.880
O 2.917 6.343 6.634
O 0.752 0.551 2.021
O 5.478 7.387 4.993
O 1.064 1.832 5.140
O 0.569 1.162 8.041
O 5.069 2.442 2.750
O 4.983 6.716 7.894
O 1.181 3.694 6.654
O 0.978 6.107 10.284
O 4.353 5.899 3.382
O 3.492 4.825 8.413
O 2.555 3.723 4.621
O 1.694 2.650 9.652
O 4.866 4.855 6.379
O 3.129 2.205 6.400
O 5.294 7.998 11.012